# 1
A plane-wave DFT calculation with PBE-GGA was carried out for a geometry-optimized Ta5TiGa3 structure.

Unit cell a=7.220 b=7.220 c=9.172 alpha=62.60 beta=62.60 gamma=70.11
Element x y z (fractional)
Ta  0.886  0.322  0.218
Ta  0.316  0.684  0.000
Ta  0.753  0.753  0.049
Ta  0.463  0.463  0.274
Ta  0.537  0.537  0.726
Ta  0.247  0.247  0.951
Ta  0.322  0.886  0.218
Ta  0.684  0.316  0.000
Ta  0.114  0.678  0.782
Ta  0.678  0.114  0.782
Ti  0.126  0.126  0.657
Ti  0.874  0.874  0.343
Ga  0.738  0.738  0.755
Ga  0.633  0.633  0.394
Ga  0.000  0.000  0.000
Ga  0.000  0.000  0.500
Ga  0.262  0.262  0.245
Ga  0.367  0.367  0.606

Computed properties:
formation enthalpy at 0 K: 450 meV/atom
ρ: 10.4 g/cm3

# 2
A plane-wave DFT calculation with PBE-GGA was carried out for a geometry-optimized Na8GeTe6 structure.

Unit cell a=9.193 b=8.819 c=12.630 alpha=90.00 beta=90.00 gamma=90.00
Element x y z (fractional)
Na  0.379  0.000  0.955
Na  0.621  0.500  0.455
Na  0.926  0.803  0.144
Na  0.074  0.697  0.644
Na  0.074  0.303  0.644
Na  0.926  0.197  0.144
Na  0.429  0.735  0.693
Na  0.571  0.765  0.193
Na  0.571  0.235  0.193
Na  0.429  0.265  0.693
Na  0.886  0.823  0.841
Na  0.114  0.677  0.341
Na  0.114  0.323  0.341
Na  0.886  0.177  0.841
Na  0.256  0.000  0.509
Na  0.744  0.500  0.009
Ge  0.751  0.000  0.493
Ge  0.249  0.500  0.993
Te  0.718  0.000  0.014
Te  0.282  0.500  0.514
Te  0.196  0.000  0.745
Te  0.804  0.500  0.245
Te  0.982  0.000  0.367
Te  0.018  0.500  0.867
Te  0.522  0.000  0.372
Te  0.478  0.500  0.872
Te  0.252  0.744  0.112
Te  0.748  0.756  0.612
Te  0.748  0.244  0.612
Te  0.252  0.256  0.112

Computed properties:
energy relative to the elements, uncorrected: -0.717 eV per atom
ρ: 3.3 g/cm3

# 3
A plane-wave DFT calculation with PBE-GGA was carried out for a geometry-optimized Ce2YC2I2 structure.

Unit cell a=4.556 b=4.556 c=10.048 alpha=103.10 beta=103.10 gamma=90.00
Last column: magnetic moment on the atom in μB.
Element x y z (fractional)
Ce  0.424  0.424  0.848  0.63
Ce  0.576  0.576  0.152  0.63
Y  0.000  0.000  0.000  -0.03
C  0.000  0.500  0.000  -0.05
C  0.500  0.000  0.000  -0.05
I  0.167  0.167  0.335  -0.01
I  0.833  0.833  0.665  -0.01

Computed properties:
energy relative to the elements, uncorrected: -0.502 eV per atom
ρ: 5.4 g/cm3

no.,calculated total energy (eV for the cell shown)
1,-144.37
2,-89.56
3,-43.39